UTePd: relaxed, GGA-PBE.

abc: 5.590 5.590 5.590
angles: 141.26 141.26 55.95
Element x y z (fractional)
U1 0.000 0.000 0.000
Te1 0.678 0.678 0.000
Pd1 0.351 0.351 0.000

Computed properties:
As for the distance to the lowest polymorph of the same formula: 0.000 eV per atom. Its theoretical density is 11.547 Mg/m³. Its space-group type is No. 107. The calculation puts the energy relative to the elements, uncorrected at -1.13 eV per formula unit.